The following is a DFT calculation (PBE) of an optimized crystal structure of ZrSnPtAu.

The space group is F-43m (No. 216) and the conventional cell measures 6.785, 6.785 and 6.785 Å, with angles of 90.00, 90.00 and 90.00 degrees. The distinct sites, in fractional coordinates, are Zr at (0.000, 0.000, 0.000), Sn at (0.000, 0.000, 0.500), Pt at (0.250, 0.250, 0.750) and Au at (0.250, 0.250, 0.250).

The value obtained for the volume is 19.5 Å³/atom. The mass density is 12.8 Mg/m³. For the energy of formation, the calculation gives -0.569 eV per atom.


The following is a DFT calculation (PBE) of an optimized crystal structure of SrPt4Au12.

The space group is Im-3 (No. 204) and the conventional cell measures 9.162, 9.162 and 9.162 Å, with angles of 90.00, 90.00 and 90.00 degrees. The distinct sites, in fractional coordinates, are Sr at (0.000, 0.000, 0.000), Pt at (0.250, 0.250, 0.250) and Au at (0.000, 0.351, 0.152).

The value obtained for the volume is 22.6 Å³/atom. The mass density is 14.0 Mg/m³. For the energy of formation, the calculation gives 0.232 eV per atom.


The following is a DFT calculation (PBE) of an optimized crystal structure of SrPt2Au2.

The space group is P4/mbm (No. 127) and the conventional cell measures 7.844, 7.844 and 3.255 Å, with angles of 90.00, 90.00 and 90.00 degrees. The distinct sites, in fractional coordinates, are Sr at (0.000, 0.000, 0.000), Pt at (0.125, 0.375, 0.000) and Au at (0.172, 0.672, 0.500).

The value obtained for the volume is 20.0 Å³/atom. The mass density is 14.5 Mg/m³. For the energy of formation, the calculation gives -0.329 eV per atom. The value obtained for the energy above the most stable polymorph in this dataset is 61 meV per atom.


The following is a DFT calculation (PBE) of an optimized crystal structure of SrPtAu2.

The space group is C2/m (No. 12) and the conventional cell measures 8.110, 4.689 and 5.737 Å, with angles of 90.00, 117.98 and 90.00 degrees. The distinct sites, in fractional coordinates, are Sr at (0.000, 0.000, 0.000), Pt at (0.000, 0.500, 0.500) and Au at (0.202, 0.000, 0.608).

The value obtained for the volume is 24.1 Å³/atom. The mass density is 11.7 Mg/m³. For the energy of formation, the calculation gives -0.509 eV per atom. The value obtained for the energy above the most stable polymorph in this dataset is 8 meV per atom.


The following is a DFT calculation (PBE) of an optimized crystal structure of Sr2PtAu.

The space group is R3m (No. 160, hexagonal axes) and the conventional cell measures 4.3842, 4.3842 and 22.5643 Å, with angles of 90.00, 90.00 and 120.00 degrees. The distinct sites, in fractional coordinates, are Sr at (0.0000, 0.0000, 0.0000), Sr at (0.0000, 0.0000, 0.1839), Pt at (0.0000, 0.0000, 0.5900) and Au at (0.0000, 0.0000, 0.4278).

The value obtained for the volume is 31.3 Å³/atom. The mass density is 7.5 Mg/m³. For the energy of formation, the calculation gives -0.688 eV per atom.


The following is a DFT calculation (PBE) of an optimized crystal structure of SrPt2Au.

The space group is I-42d (No. 122) and the conventional cell measures 4.801, 4.801 and 18.779 Å, with angles of 90.00, 90.00 and 90.00 degrees. The distinct sites, in fractional coordinates, are Sr at (0.000, 0.000, 0.000), Pt at (0.072, 0.250, 0.625) and Au at (0.000, 0.000, 0.500).

The value obtained for the volume is 27.0 Å³/atom. The mass density is 10.4 Mg/m³. For the energy of formation, the calculation gives -0.346 eV per atom.


The following is a DFT calculation (PBE) of an optimized crystal structure of SrPtAu4.

The space group is F-43m (No. 216) and the conventional cell measures 7.897, 7.897 and 7.897 Å, with angles of 90.00, 90.00 and 90.00 degrees. The distinct sites, in fractional coordinates, are Sr at (0.000, 0.000, 0.000), Pt at (0.250, 0.250, 0.250) and Au at (0.124, 0.124, 0.624).

The value obtained for the volume is 20.5 Å³/atom. The mass density is 14.4 Mg/m³. For the energy of formation, the calculation gives -0.327 eV per atom. The value obtained for the energy above the most stable polymorph in this dataset is 0 meV per atom.


The following is a DFT calculation (PBE) of an optimized crystal structure of SrPt2Au4.

The space group is I4/mmm (No. 139) and the conventional cell measures 8.341, 8.341 and 5.446 Å, with angles of 90.00, 90.00 and 90.00 degrees. The distinct sites, in fractional coordinates, are Sr at (0.000, 0.000, 0.000), Pt at (0.000, 0.500, 0.250) and Au at (0.000, 0.227, 0.500).

The value obtained for the volume is 27.1 Å³/atom. The mass density is 11.1 Mg/m³. For the energy of formation, the calculation gives 0.016 eV per atom. The value obtained for the energy above the most stable polymorph in this dataset is 391 meV per atom.


Please write out number 6 again, unchanged.
The following is a DFT calculation (PBE) of an optimized crystal structure of SrPt2Au.

The space group is I-42d (No. 122) and the conventional cell measures 4.801, 4.801 and 18.779 Å, with angles of 90.00, 90.00 and 90.00 degrees. The distinct sites, in fractional coordinates, are Sr at (0.000, 0.000, 0.000), Pt at (0.072, 0.250, 0.625) and Au at (0.000, 0.000, 0.500).

The value obtained for the volume is 27.0 Å³/atom. The mass density is 10.4 Mg/m³. For the energy of formation, the calculation gives -0.346 eV per atom.


volume of number 8 (SrPt2Au4)? 27.1 Å³/atom


The lowest mass density belongs to which entry? Sr2PtAu